PBE with a Hubbard U Rb3Y3WO8, optimized geometry; E_tot = -7.18 eV per atom; DOS(E_F) = 0.00 states/eV per atom; SG = C2/m (12)
1.0
-2.442 -6.313 1.012
6.213 1.701 2.459
-6.103 2.950 3.682
Rb O W Y
3 8 1 3
Direct
0.000 0.000 0.000
0.500 0.500 0.000
0.000 0.500 0.000
0.786 0.572 0.334
0.214 0.428 0.666
0.723 0.445 0.672
0.252 0.045 0.337
0.277 0.555 0.328
0.207 0.955 0.663
0.793 0.045 0.337
0.748 0.955 0.663
0.000 0.000 0.500
0.500 0.000 0.500
0.000 0.500 0.500
0.500 0.500 0.500